Material: Cr2CdIn
Method: DFT, GGA-PBE
State: relaxed

Geometry as CIF:
```
data_Cr2CdIn
_cell_length_a 6.425
_cell_length_b 7.212
_cell_length_c 3.206
_cell_angle_alpha 90.00
_cell_angle_beta 90.00
_cell_angle_gamma 90.00
_space_group_name_H-M_alt 'C m m m'
_space_group_IT_number 65
_space_group_name_Hall '-C 2 2'
loop_
_atom_site_label
_atom_site_type_symbol
_atom_site_fract_x
_atom_site_fract_y
_atom_site_fract_z
Cr1 Cr 0.250 0.250 0.000
Cd1 Cd 0.000 0.000 0.500
In1 In 0.000 0.500 0.500
```


Material: CrCd2In
Method: DFT, GGA-PBE
State: relaxed

Geometry as CIF:
```
data_CrCd2In
_cell_length_a 3.325
_cell_length_b 4.066
_cell_length_c 6.245
_cell_angle_alpha 90.00
_cell_angle_beta 90.36
_cell_angle_gamma 90.00
_space_group_name_H-M_alt 'P 1 m 1'
_space_group_IT_number 6
loop_
_space_group_symop_operation_xyz
'x,y,z'
'x,-y,z'
loop_
_atom_site_label
_atom_site_type_symbol
_atom_site_fract_x
_atom_site_fract_y
_atom_site_fract_z
Cr1 Cr 0.000 0.000 0.000
Cd1 Cd 0.498 0.500 0.756
Cd2 Cd 0.998 0.000 0.508
In1 In 0.502 0.500 0.231
```


Material: CrCd2In
Method: DFT, GGA-PBE
State: relaxed

Geometry as CIF:
```
data_CrCd2In
_cell_length_a 3.2295
_cell_length_b 3.2295
_cell_length_c 29.0649
_cell_angle_alpha 90.00
_cell_angle_beta 90.00
_cell_angle_gamma 120.00
_space_group_name_H-M_alt 'R -3 m'
_space_group_IT_number 166
_space_group_name_Hall '-R 3 2"'
loop_
_atom_site_label
_atom_site_type_symbol
_atom_site_fract_x
_atom_site_fract_y
_atom_site_fract_z
Cr1 Cr 0.0000 0.0000 0.0000
Cd1 Cd 0.0000 0.0000 0.2564
In1 In 0.0000 0.0000 0.5000
```


Material: CrCd2In
Method: DFT, GGA-PBE
State: relaxed

Geometry as CIF:
```
data_CrCd2In
_cell_length_a 4.404
_cell_length_b 4.404
_cell_length_c 8.518
_cell_angle_alpha 90.00
_cell_angle_beta 90.00
_cell_angle_gamma 90.00
_space_group_name_H-M_alt 'I -4 m 2'
_space_group_IT_number 119
_space_group_name_Hall 'I -4 -2'
loop_
_atom_site_label
_atom_site_type_symbol
_atom_site_fract_x
_atom_site_fract_y
_atom_site_fract_z
Cr1 Cr 0.000 0.000 0.000
Cd1 Cd 0.000 0.000 0.500
Cd2 Cd 0.000 0.500 0.750
In1 In 0.000 0.500 0.250
```


The following calculated formation energy values (in meV/atom) correspond, in order, to the records above: 435, 268, 313, 251.